# SrZrPb2N

A relaxed SrZrPb2N crystal (GGA-PBEsol, the Alexandria database).

Values from the calculation:
Fermi-level density of states: 4.5 states/eV/f.u.
density: 8.5 g/cm3
V: 118 Å³/f.u.
ΔE_f (raw): 0.31 eV per atom
energy: -5.177 eV/atom

Lattice parameters (Å, degrees): 4.9959 4.9959 4.7372 90.00 90.00 90.00
Atoms (fractional coordinates):
Sr 0.0000 0.0000 0.0000
Zr 0.5000 0.5000 0.0000
Pb 0.0000 0.5000 0.5000
Pb 0.5000 0.0000 0.5000
N 0.0000 0.0000 0.5000

---

# TaPbN2

A relaxed TaPbN2 crystal (GGA-PBEsol, the Alexandria database).

Values from the calculation:
Fermi-level density of states: 0.4 states/eV/f.u.
density: 11.4 g/cm3
V: 61 Å³/f.u.
ΔE_f (raw): -0.61 eV per atom
energy: -9.012 eV/atom

Lattice parameters (Å, degrees): 7.2647 7.2647 7.2647 25.12 25.12 25.12
Atoms (fractional coordinates):
Ta 0.0000 0.0000 0.0000
Pb 0.5000 0.5000 0.5000
N 0.3830 0.3830 0.3830
N 0.6170 0.6170 0.6170

---

# TaPbN3

A relaxed TaPbN3 crystal (GGA-PBEsol, the Alexandria database).

Values from the calculation:
Fermi-level density of states: 3.7 states/eV/f.u.
density: 10.3 g/cm3
V: 69 Å³/f.u.
ΔE_f (raw): 0.07 eV per atom
energy: -8.357 eV/atom

Lattice parameters (Å, degrees): 4.1085 4.1085 4.1085 90.00 90.00 90.00
Atoms (fractional coordinates):
Ta 0.0000 0.0000 0.0000
Pb 0.5000 0.5000 0.5000
N 0.0000 0.0000 0.5000
N 0.0000 0.5000 0.0000
N 0.5000 0.0000 0.0000

---

# TaTePbN2

A relaxed TaTePbN2 crystal (GGA-PBEsol, the Alexandria database).

Values from the calculation:
Fermi-level density of states: 4.5 states/eV/f.u.
density: 8.7 g/cm3
V: 104 Å³/f.u.
ΔE_f (raw): 2.08 eV per atom
energy: -5.346 eV/atom

Lattice parameters (Å, degrees): 4.2198 4.2198 5.8459 90.00 90.00 90.00
Atoms (fractional coordinates):
Ta 0.0000 0.0000 0.0000
Te 0.5000 0.5000 0.0000
Pb 0.5000 0.5000 0.5000
N 0.0000 0.5000 0.5000
N 0.5000 0.0000 0.5000

---

# TlTcPbN2

A relaxed TlTcPbN2 crystal (GGA-PBEsol, the Alexandria database).

Values from the calculation:
Fermi-level density of states: 2.6 states/eV/f.u.
density: 10.3 g/cm3
V: 87 Å³/f.u.
ΔE_f (raw): 0.71 eV per atom
energy: -6.276 eV/atom

Lattice parameters (Å, degrees): 3.9646 3.9646 5.5135 90.00 90.00 90.00
Atoms (fractional coordinates):
Tl 0.0000 0.0000 0.0000
Tc 0.0000 0.0000 0.5000
Pb 0.5000 0.5000 0.0000
N 0.0000 0.5000 0.5000
N 0.5000 0.0000 0.5000

---

# Te2PbN2

A relaxed Te2PbN2 crystal (GGA-PBEsol, the Alexandria database).

Values from the calculation:
Fermi-level density of states: 2.6 states/eV/f.u.
density: 6.8 g/cm3
V: 120 Å³/f.u.
ΔE_f (raw): 1.54 eV per atom
energy: -4.081 eV/atom

Lattice parameters (Å, degrees): 4.3935 4.3935 6.2215 90.00 90.00 90.00
Atoms (fractional coordinates):
Te 0.0000 0.0000 0.0000
Te 0.5000 0.5000 0.0000
Pb 0.0000 0.0000 0.5000
N 0.0000 0.5000 0.5000
N 0.5000 0.0000 0.5000

---

# Te2PbWN

A relaxed Te2PbWN crystal (GGA-PBEsol, the Alexandria database).

Values from the calculation:
Fermi-level density of states: 2.2 states/eV/f.u.
density: 9.5 g/cm3
V: 115 Å³/f.u.
ΔE_f (raw): 0.10 eV per atom
energy: -6.574 eV/atom

Lattice parameters (Å, degrees): 5.4933 5.4933 3.8251 90.00 90.00 90.00
Atoms (fractional coordinates):
Te 0.0000 0.5000 0.0000
Te 0.5000 0.0000 0.0000
Pb 0.0000 0.0000 0.5000
W 0.5000 0.5000 0.0000
N 0.5000 0.5000 0.5000

---

# TePbWN2

A relaxed TePbWN2 crystal (GGA-PBEsol, the Alexandria database).

Values from the calculation:
Fermi-level density of states: 1.7 states/eV/f.u.
density: 10.0 g/cm3
V: 91 Å³/f.u.
ΔE_f (raw): 0.43 eV per atom
energy: -7.250 eV/atom

Lattice parameters (Å, degrees): 4.0785 4.0785 5.4733 90.00 90.00 90.00
Atoms (fractional coordinates):
Te 0.0000 0.0000 0.0000
Pb 0.5000 0.5000 0.0000
W 0.0000 0.0000 0.5000
N 0.0000 0.5000 0.5000
N 0.5000 0.0000 0.5000

---

# ZnTePbN2

A relaxed ZnTePbN2 crystal (GGA-PBEsol, the Alexandria database).

Values from the calculation:
Fermi-level density of states: 3.1 states/eV/f.u.
density: 7.3 g/cm3
V: 98 Å³/f.u.
ΔE_f (raw): 1.33 eV per atom
energy: -3.898 eV/atom

Lattice parameters (Å, degrees): 4.2554 4.2554 5.3925 90.00 90.00 90.00
Atoms (fractional coordinates):
Zn 0.0000 0.0000 0.0000
Te 0.0000 0.0000 0.5000
Pb 0.5000 0.5000 0.5000
N 0.0000 0.5000 0.0000
N 0.5000 0.0000 0.0000

---

# ZrTe2PbN

A relaxed ZrTe2PbN crystal (GGA-PBEsol, the Alexandria database).

Values from the calculation:
Fermi-level density of states: 3.9 states/eV/f.u.
density: 7.1 g/cm3
V: 132 Å³/f.u.
ΔE_f (raw): -0.22 eV per atom
energy: -5.956 eV/atom

Lattice parameters (Å, degrees): 5.7648 5.7648 3.9816 90.00 90.00 90.00
Atoms (fractional coordinates):
Zr 0.0000 0.0000 0.0000
Te 0.0000 0.5000 0.0000
Te 0.5000 0.0000 0.0000
Pb 0.5000 0.5000 0.5000
N 0.0000 0.0000 0.5000

---

# TlPbN2

A relaxed TlPbN2 crystal (GGA-PBEsol, the Alexandria database).

Values from the calculation:
Fermi-level density of states: 1.4 states/eV/f.u.
density: 10.4 g/cm3
V: 70 Å³/f.u.
ΔE_f (raw): 0.94 eV per atom
energy: -4.984 eV/atom

Lattice parameters (Å, degrees): 6.7997 6.7997 6.7997 30.11 30.11 30.11
Atoms (fractional coordinates):
Tl 0.0000 0.0000 0.0000
Pb 0.5000 0.5000 0.5000
N 0.1077 0.1077 0.1077
N 0.8923 0.8923 0.8923

---

# PbW3N

A relaxed PbW3N crystal (GGA-PBEsol, the Alexandria database).

Values from the calculation:
Fermi-level density of states: 6.6 states/eV/f.u.
density: 10.5 g/cm3
V: 122 Å³/f.u.
ΔE_f (raw): 4.60 eV per atom
energy: -6.185 eV/atom

Lattice parameters (Å, degrees): 4.9663 4.9663 4.9663 90.00 90.00 90.00
Atoms (fractional coordinates):
Pb 0.0000 0.0000 0.0000
W 0.0000 0.0000 0.5000
W 0.0000 0.5000 0.0000
W 0.5000 0.0000 0.0000
N 0.5000 0.5000 0.5000

---

What is the energy in the seventh record?
-6.574 eV/atom